This record from the Alexandria database describes a PBEsol-optimized structure of LiTa5. The functional is SCAN.

Cell and atoms, written as CIF:
```
data_LiTa5
_cell_length_a 11.130
_cell_length_b 2.700
_cell_length_c 7.147
_cell_angle_alpha 90.00
_cell_angle_beta 102.38
_cell_angle_gamma 90.00
_symmetry_space_group_name_H-M 'C 1 m 1'
_symmetry_Int_Tables_number 8
loop_
_symmetry_equiv_pos_as_xyz
'x,y,z'
'x,-y,z'
'x+1/2,y+1/2,z'
'x+1/2,-y+1/2,z'
loop_
_atom_site_label
_atom_site_type_symbol
_atom_site_fract_x
_atom_site_fract_y
_atom_site_fract_z
Li1 Li 0.000 0.000 0.000
Ta1 Ta 0.096 0.500 0.690
Ta2 Ta 0.169 0.500 0.332
Ta3 Ta 0.259 0.000 0.021
Ta4 Ta 0.334 0.000 0.670
Ta5 Ta 0.429 0.500 0.354
```

Summary:
ΔH_f (0 K)   0.32 eV per atom
ΔE to the lowest computed polymorph   0.000 eV per atom

This record from the Alexandria database describes a PBEsol-optimized structure of AuBrO2. The functional is SCAN.

Cell and atoms, written as CIF:
```
data_AuBrO2
_cell_length_a 5.839
_cell_length_b 5.839
_cell_length_c 5.839
_cell_angle_alpha 90.00
_cell_angle_beta 90.00
_cell_angle_gamma 90.00
_symmetry_space_group_name_H-M 'F m -3 m'
_symmetry_Int_Tables_number 225
_symmetry_space_group_name_Hall '-F 4 2 3'
loop_
_atom_site_label
_atom_site_type_symbol
_atom_site_fract_x
_atom_site_fract_y
_atom_site_fract_z
Au1 Au 0.000 0.000 0.000
Br1 Br 0.000 0.000 0.500
O1 O 0.250 0.250 0.250
```

Summary:
Formation energy (no corrections)   1.25 eV/atom

This record from the Alexandria database describes a PBEsol-optimized structure of NaInP2Cl. The functional is SCAN.

Cell and atoms, written as CIF:
```
data_NaInP2Cl
_cell_length_a 4.981
_cell_length_b 4.981
_cell_length_c 5.507
_cell_angle_alpha 90.00
_cell_angle_beta 90.00
_cell_angle_gamma 90.00
_symmetry_space_group_name_H-M 'P 4/m m m'
_symmetry_Int_Tables_number 123
_symmetry_space_group_name_Hall '-P 4 2'
loop_
_atom_site_label
_atom_site_type_symbol
_atom_site_fract_x
_atom_site_fract_y
_atom_site_fract_z
Na1 Na 0.000 0.000 0.000
In1 In 0.500 0.500 0.500
P1 P 0.000 0.500 0.500
Cl1 Cl 0.500 0.500 0.000
```

Summary:
Formation energy (no corrections)   0.15 eV/atom

This record from the Alexandria database describes a PBEsol-optimized structure of TmMg3. The functional is SCAN.

Cell and atoms, written as CIF:
```
data_TmMg3
_cell_length_a 4.588
_cell_length_b 4.588
_cell_length_c 4.588
_cell_angle_alpha 90.00
_cell_angle_beta 90.00
_cell_angle_gamma 90.00
_symmetry_space_group_name_H-M 'P m -3 m'
_symmetry_Int_Tables_number 221
_symmetry_space_group_name_Hall '-P 4 2 3'
loop_
_atom_site_label
_atom_site_type_symbol
_atom_site_fract_x
_atom_site_fract_y
_atom_site_fract_z
Tm1 Tm 0.000 0.000 0.000
Mg1 Mg 0.000 0.500 0.500
```

Summary:
ΔH_f (0 K)   -0.02 eV per atom

This record from the Alexandria database describes a PBEsol-optimized structure of Al2As2Pb. The functional is SCAN.

Cell and atoms, written as CIF:
```
data_Al2As2Pb
_cell_length_a 4.889
_cell_length_b 4.889
_cell_length_c 8.960
_cell_angle_alpha 90.00
_cell_angle_beta 90.00
_cell_angle_gamma 90.00
_symmetry_space_group_name_H-M 'I 4/m m m'
_symmetry_Int_Tables_number 139
_symmetry_space_group_name_Hall '-I 4 2'
loop_
_atom_site_label
_atom_site_type_symbol
_atom_site_fract_x
_atom_site_fract_y
_atom_site_fract_z
Al1 Al 0.000 0.000 0.144
As1 As 0.000 0.500 0.250
Pb1 Pb 0.000 0.000 0.500
```

Summary:
ΔH_f (0 K)   0.02 eV per atom

This record from the Alexandria database describes a PBEsol-optimized structure of CsYO2. The functional is SCAN.

Cell and atoms, written as CIF:
```
data_CsYO2
_cell_length_a 6.306
_cell_length_b 6.306
_cell_length_c 9.239
_cell_angle_alpha 90.00
_cell_angle_beta 90.00
_cell_angle_gamma 90.00
_symmetry_space_group_name_H-M 'I -4 2 d'
_symmetry_Int_Tables_number 122
_symmetry_space_group_name_Hall 'I -4 2bw'
loop_
_atom_site_label
_atom_site_type_symbol
_atom_site_fract_x
_atom_site_fract_y
_atom_site_fract_z
Cs1 Cs 0.000 0.000 0.000
Y1 Y 0.000 0.000 0.500
O1 O 0.134 0.750 0.625
```

Summary:
Formation energy (no corrections)   -2.86 eV/atom